Ba2HfP after structural relaxation. Source: Alexandria via LeMat-Bulk, functional PBEsol.

Values from the calculation:
* ΔH_f (0 K): -45 meV per atom
* total moment: 0.00 μB/f.u.

The structure in POSCAR format:
```
Ba2HfP
1.0
11.3926 0.0000 0.0000
0.0000 11.3926 0.0000
0.0000 0.0000 4.9377
Ba Hf P
8 4 4
Direct
0.1045 0.7500 0.1250 Ba
0.2500 0.1045 0.8750 Ba
0.2500 0.3955 0.3750 Ba
0.3955 0.7500 0.6250 Ba
0.6045 0.2500 0.6250 Ba
0.7500 0.6045 0.3750 Ba
0.7500 0.8955 0.8750 Ba
0.8955 0.2500 0.1250 Ba
0.0000 0.0000 0.5000 Hf
0.0000 0.5000 0.7500 Hf
0.5000 0.0000 0.2500 Hf
0.5000 0.5000 0.0000 Hf
0.0000 0.0000 0.0000 P
0.0000 0.5000 0.2500 P
0.5000 0.0000 0.7500 P
0.5000 0.5000 0.5000 P
```

Sc2InPt after structural relaxation. Source: Alexandria via LeMat-Bulk, functional PBEsol.

Values from the calculation:
* ΔH_f (0 K): -795 meV per atom
* total moment: 0.00 μB/f.u.

The structure in POSCAR format:
```
Sc2InPt
1.0
4.6350 0.0000 0.0000
0.0000 4.6350 0.0000
0.0000 0.0000 3.5573
Sc In Pt
2 1 1
Direct
0.0000 0.5000 0.0000 Sc
0.5000 0.0000 0.0000 Sc
0.0000 0.0000 0.5000 In
0.5000 0.5000 0.5000 Pt
```

| no. | E (eV/atom) |
| --- | --- |
| 1 | -5.19 |
| 2 | -6.58 |